1.
PuMg2H6: optimized geometry, GGA-PBE.

## Properties
DOS(E_F): 11.7 states/eV per cell
VASP energy: -33.9 eV/cell
Calculated volume: 103 Å³ per cell
Space group: No. 225
Magnetization: 4.856 μB per formula unit

Unit cell a=5.256 b=5.256 c=5.256 alpha=60.00 beta=60.00 gamma=60.00
Site moments in Bohr magnetons follow the coordinates.
Sites, in units of the cell vectors:
Mg  0.250  0.250  0.250  -0.03
H  0.721  0.279  0.721  0.03
H  0.279  0.721  0.279  0.03
H  0.279  0.279  0.721  0.03
H  0.721  0.721  0.279  0.03
Pu  0.000  0.000  0.000  -4.77
H  0.721  0.279  0.279  0.03
H  0.279  0.721  0.721  0.03
Mg  0.750  0.750  0.750  -0.03



2.
Ta2Cd: optimized geometry, GGA-PBE.

## Properties
DOS(E_F): 4.7 states/eV per cell
VASP energy: -46.3 eV/cell
Calculated volume: 121 Å³ per cell
Space group: No. 227
Magnetization: 0.000 μB per formula unit

Unit cell a=5.552 b=5.552 c=5.552 alpha=60.00 beta=60.00 gamma=60.00
Sites, in units of the cell vectors:
Ta  0.125  0.125  0.625
Ta  0.125  0.125  0.125
Cd  0.500  0.500  0.500
Ta  0.125  0.625  0.125
Ta  0.625  0.125  0.125
Cd  0.750  0.750  0.750



3.
Pm3AlGe2: optimized geometry, GGA-PBE.

## Properties
DOS(E_F): 12.6 states/eV per cell
VASP energy: -60.9 eV/cell
Calculated volume: 336 Å³ per cell
Space group: No. 167
Polymorph energy (0 for the lowest one): 16.2 kJ per mole of atoms
Magnetization: 0.000 μB per formula unit

Unit cell a=7.651 b=7.651 c=7.651 alpha=62.72 beta=62.72 gamma=62.72
Sites, in units of the cell vectors:
Al  0.500  0.500  0.500
Ge  0.647  0.647  0.647
Pm  0.551  0.949  0.250
Pm  0.750  0.449  0.051
Ge  0.147  0.147  0.147
Pm  0.051  0.750  0.449
Pm  0.250  0.551  0.949
Pm  0.449  0.051  0.750
Ge  0.353  0.353  0.353
Pm  0.949  0.250  0.551
Al  0.000  0.000  0.000
Ge  0.853  0.853  0.853



4.
RbCdSbTe2: optimized geometry, GGA-PBE.

## Properties
DOS(E_F): 8.4 states/eV per cell
VASP energy: -7.2 eV/cell
Calculated volume: 246 Å³ per cell
Space group: No. 123
Polymorph energy (0 for the lowest one): 97.7 kJ per mole of atoms
Magnetization: 0.000 μB per formula unit

Unit cell a=6.297 b=6.297 c=6.210 alpha=90.00 beta=90.00 gamma=90.00
Sites, in units of the cell vectors:
Te  0.500  0.000  0.000
Sb  0.000  0.000  0.500
Te  0.000  0.500  0.000
Cd  0.500  0.500  0.500
Rb  0.000  0.000  0.000



5.
Ba2H12Pd3Pb: optimized geometry, GGA-PBE.

## Properties
DOS(E_F): 1.7 states/eV per cell
VASP energy: -66.7 eV/cell
Calculated volume: 214 Å³ per cell
Space group: No. 166
Magnetization: 0.000 μB per formula unit

Unit cell a=6.722 b=6.722 c=6.722 alpha=59.88 beta=59.88 gamma=59.88
Sites, in units of the cell vectors:
Ba  0.389  0.389  0.389
Pd  0.500  0.000  0.000
H  0.701  0.107  0.701
H  0.881  0.428  0.881
H  0.107  0.701  0.701
H  0.893  0.299  0.299
Ba  0.611  0.611  0.611
H  0.881  0.881  0.428
H  0.428  0.881  0.881
H  0.701  0.701  0.107
Pd  0.000  0.000  0.500
H  0.299  0.893  0.299
Pd  0.000  0.500  0.000
Pb  0.000  0.000  0.000
H  0.119  0.119  0.572
H  0.119  0.572  0.119
H  0.572  0.119  0.119
H  0.299  0.299  0.893



6.
SnGeO4: optimized geometry, GGA-PBE.

## Properties
DOS(E_F): 0.0 states/eV per cell
VASP energy: -73.7 eV/cell
Calculated volume: 202 Å³ per cell
Space group: No. 112
Polymorph energy (0 for the lowest one): 17.8 kJ per mole of atoms
Magnetization: 0.000 μB per formula unit

Unit cell a=4.847 b=4.847 c=8.592 alpha=90.00 beta=90.00 gamma=90.00
Sites, in units of the cell vectors:
O  0.198  0.278  0.372
Ge  0.000  0.500  0.250
Ge  0.500  0.000  0.750
Sn  0.000  0.000  0.500
O  0.802  0.722  0.372
O  0.198  0.722  0.128
O  0.802  0.278  0.128
O  0.278  0.198  0.872
O  0.722  0.802  0.872
Sn  0.000  0.000  0.000
O  0.722  0.198  0.628
O  0.278  0.802  0.628



7.
NaCu3Sb3: optimized geometry, GGA-PBE.

## Properties
DOS(E_F): 4.9 states/eV per cell
VASP energy: -52.3 eV/cell
Calculated volume: 301 Å³ per cell
Space group: No. 176
Polymorph energy (0 for the lowest one): 0.0 kJ per mole of atoms
Magnetization: 0.000 μB per formula unit

Unit cell a=4.326 b=8.960 c=8.960 alpha=120.00 beta=90.00 gamma=90.00
Sites, in units of the cell vectors:
Cu  0.750  0.037  0.186
Na  0.750  0.333  0.667
Cu  0.250  0.851  0.037
Sb  0.250  0.069  0.378
Cu  0.750  0.814  0.851
Sb  0.750  0.691  0.069
Cu  0.750  0.149  0.963
Sb  0.750  0.931  0.622
Cu  0.250  0.963  0.814
Na  0.250  0.667  0.333
Sb  0.750  0.378  0.309
Sb  0.250  0.309  0.931
Cu  0.250  0.186  0.149
Sb  0.250  0.622  0.691



8.
TbPrCoCu: optimized geometry, GGA-PBE.

## Properties
DOS(E_F): 3.5 states/eV per cell
VASP energy: -21.1 eV/cell
Calculated volume: 87 Å³ per cell
Space group: No. 38
Polymorph energy (0 for the lowest one): 0.0 kJ per mole of atoms
Magnetization: 0.000 μB per formula unit

Unit cell a=3.880 b=4.352 c=5.528 alpha=90.00 beta=110.54 gamma=90.00
Sites, in units of the cell vectors:
Cu  0.565  0.500  0.130
Co  0.428  0.000  0.855
Tb  0.863  0.500  0.727
Pr  0.144  0.000  0.288



9.
Ti2Nb2Pt7: optimized geometry, GGA-PBE.

## Properties
DOS(E_F): 8.1 states/eV per cell
VASP energy: -81.4 eV/cell
Calculated volume: 205 Å³ per cell
Space group: No. 65
Magnetization: 0.000 μB per formula unit

Unit cell a=5.606 b=6.579 c=5.606 alpha=90.00 beta=96.91 gamma=90.00
Sites, in units of the cell vectors:
Pt  0.500  0.734  0.000
Pt  0.500  0.716  0.500
Nb  0.181  0.500  0.181
Pt  0.500  0.266  0.000
Pt  0.500  0.284  0.500
Ti  0.701  0.000  0.299
Pt  0.000  0.000  0.000
Pt  0.000  0.266  0.500
Pt  0.000  0.734  0.500
Ti  0.299  0.000  0.701
Nb  0.819  0.500  0.819



10.
CsCdNiAs: optimized geometry, GGA-PBE.

## Properties
DOS(E_F): 5.1 states/eV per cell
VASP energy: -26.5 eV/cell
Calculated volume: 241 Å³ per cell
Space group: No. 129
Magnetization: 0.000 μB per formula unit

Unit cell a=4.156 b=4.156 c=13.966 alpha=90.00 beta=90.00 gamma=90.00
Sites, in units of the cell vectors:
As  0.250  0.250  0.079
Ni  0.250  0.750  0.000
As  0.750  0.750  0.921
Cs  0.750  0.750  0.236
Cs  0.250  0.250  0.764
Cd  0.250  0.750  0.500
Cd  0.750  0.250  0.500
Ni  0.750  0.250  0.000



11.
TeAuSe2: optimized geometry, GGA-PBE.

## Properties
DOS(E_F): 2.5 states/eV per cell
VASP energy: -13.2 eV/cell
Calculated volume: 95 Å³ per cell
Space group: No. 160
Polymorph energy (0 for the lowest one): 1.2 kJ per mole of atoms
Magnetization: 0.000 μB per formula unit

Unit cell a=6.983 b=6.983 c=6.983 alpha=33.96 beta=33.96 gamma=33.96
Sites, in units of the cell vectors:
Te  0.494  0.494  0.494
Au  0.745  0.745  0.745
Se  0.010  0.010  0.010
Se  0.250  0.250  0.250



12.
Sb2TeSeBr: optimized geometry, GGA-PBE.

## Properties
DOS(E_F): 4.7 states/eV per cell
VASP energy: -13.8 eV/cell
Calculated volume: 167 Å³ per cell
Space group: No. 123
Polymorph energy (0 for the lowest one): 0.0 kJ per mole of atoms
Magnetization: 0.000 μB per formula unit

Unit cell a=5.536 b=5.536 c=5.442 alpha=90.00 beta=90.00 gamma=90.00
Sites, in units of the cell vectors:
Se  0.000  0.000  0.000
Br  0.500  0.500  0.500
Sb  0.000  0.500  0.000
Sb  0.500  0.000  0.000
Te  0.000  0.000  0.500